one.
{"formula": "HgB2C", "functional": "PBE", "state": "optimized geometry", "cell": [[0.000, 2.865, 2.865], [2.865, 0.000, 2.865], [2.865, 2.865, 0.000]], "species": ["Hg", "B", "C", "B"], "fractional_positions": [[0.500, 0.500, 0.500], [0.750, 0.750, 0.750], [0.000, 0.000, 0.000], [0.250, 0.250, 0.250]], "sg": "Fm-3m, No. 225"}

two.
{"formula": "HgB2C", "functional": "PBE", "state": "optimized geometry", "cell": [[-1.261, 3.628, 2.984], [-4.172, -2.286, 1.016], [-1.081, -1.067, 4.805]], "species": ["B", "Hg", "B", "Hg", "B", "C", "B", "C"], "fractional_positions": [[0.875, 0.743, 0.750], [0.750, 0.250, 0.500], [0.375, 0.507, 0.750], [0.000, 0.000, 0.000], [0.493, 0.125, 0.250], [0.250, 0.750, 0.500], [0.257, 0.625, 0.250], [0.500, 0.500, 0.000]], "sg": "I-42d, No. 122"}

Of them, one has the lowest stability.

one.
{"formula": "YHg2BC", "functional": "PBE", "state": "optimized geometry", "cell": [[5.840, 0.000, 0.000], [0.000, 2.942, 0.000], [0.000, 0.000, 5.840]], "species": ["C", "B", "Hg", "Y", "Hg"], "fractional_positions": [[0.000, 0.500, 0.000], [0.000, 0.000, 0.000], [0.000, 0.000, 0.500], [0.500, 0.500, 0.500], [0.500, 0.000, 0.000]], "sg": "P4/mmm, No. 123"}

two.
{"formula": "YHg2BC", "functional": "PBE", "state": "optimized geometry", "cell": [[4.292, 0.000, 0.000], [0.000, 5.273, 0.000], [0.000, 0.000, 4.292]], "species": ["Y", "C", "B", "Hg", "Hg"], "fractional_positions": [[0.000, 0.500, 0.000], [0.500, 0.500, 0.500], [0.000, 0.000, 0.000], [0.000, 0.000, 0.500], [0.500, 0.000, 0.000]], "sg": "P4/mmm, No. 123"}

Of them, two has the lowest stability.

one.
{"formula": "Ho3BC3", "functional": "PBE", "state": "optimized geometry", "cell": [[5.121, 0.000, 0.000], [0.000, 6.906, 0.000], [0.000, -3.453, 5.981]], "species": ["C", "C", "B", "Ho", "Ho", "Ho", "B", "C", "Ho", "C", "C", "Ho", "Ho", "C"], "fractional_positions": [[0.750, 0.586, 0.896], [0.750, 0.310, 0.414], [0.750, 0.333, 0.667], [0.250, 0.067, 0.705], [0.750, 0.705, 0.638], [0.750, 0.362, 0.067], [0.250, 0.667, 0.333], [0.250, 0.414, 0.104], [0.250, 0.638, 0.933], [0.250, 0.690, 0.586], [0.250, 0.896, 0.310], [0.750, 0.933, 0.295], [0.250, 0.295, 0.362], [0.750, 0.104, 0.690]], "sg": "P6_3/m, No. 176"}

two.
{"formula": "Ho3BC3", "functional": "PBE", "state": "optimized geometry", "cell": [[5.044, 0.000, 0.000], [0.000, 6.426, -0.943], [0.000, -0.681, 6.459]], "species": ["C", "C", "Ho", "Ho", "B", "C", "C", "Ho", "Ho", "C", "B", "C", "Ho", "Ho"], "fractional_positions": [[0.250, 0.825, 0.545], [0.750, 0.121, 0.879], [0.250, 0.104, 0.896], [0.250, 0.160, 0.412], [0.750, 0.289, 0.711], [0.250, 0.879, 0.121], [0.250, 0.455, 0.175], [0.750, 0.840, 0.588], [0.250, 0.588, 0.840], [0.750, 0.175, 0.455], [0.250, 0.711, 0.289], [0.750, 0.545, 0.825], [0.750, 0.896, 0.104], [0.750, 0.412, 0.160]], "sg": "Cmcm, No. 63"}

Of them, two has the lowest stability.

one.
{"formula": "B2CI", "functional": "PBE", "state": "optimized geometry", "cell": [[4.896, 0.000, 0.000], [0.000, 4.896, 0.000], [2.448, 2.448, 4.008]], "species": ["C", "I", "I", "B", "C", "B", "B", "B"], "fractional_positions": [[0.500, 0.500, 0.000], [0.000, 0.000, 0.000], [0.750, 0.250, 0.500], [0.277, 0.625, 0.250], [0.250, 0.750, 0.500], [0.473, 0.125, 0.250], [0.875, 0.723, 0.750], [0.375, 0.527, 0.750]], "sg": "I-42d, No. 122"}

two.
{"formula": "B2CI", "functional": "PBE", "state": "optimized geometry", "cell": [[0.000, 2.890, 2.890], [2.890, 0.000, 2.890], [2.890, 2.890, 0.000]], "species": ["C", "B", "I", "B"], "fractional_positions": [[0.000, 0.000, 0.000], [0.250, 0.250, 0.250], [0.500, 0.500, 0.500], [0.750, 0.750, 0.750]], "sg": "Fm-3m, No. 225"}

Of them, two has the lowest stability.